The following is a DFT calculation (PBE-GGA) of crystalline TaRe2Rh at its relaxed geometry.

The structure in POSCAR format:
```
TaRe2Rh
1.0
-0.085 -3.437 1.811
2.383 1.384 2.740
-3.239 1.235 2.193
Re Ta Rh
2 1 1
Direct
0.000 0.500 0.000 Re
0.500 0.000 0.000 Re
0.000 0.000 0.500 Ta
0.500 0.500 0.500 Rh
```

- distance to the lowest polymorph of the same formula (kJ per mole of atoms) = 0.0
- crystal system = tetragonal
- final energy (hartree per atom) = -0.4107
- energy relative to the elements (eV/atom) = -0.15
- magnetic moment (Bohr magnetons per cell) = 0.00